Entry from the Open Quantum Materials Database: ZnHgTeO after structural relaxation (GGA-PBE).

Output
* crystal system: orthorhombic

Lattice parameters (Å, degrees): 7.289 7.680 12.824 90.00 90.00 90.00
Space group Pbca (No. 61)
Inequivalent atoms, fractional coordinates:
Zn1 0.087 0.177 0.077 [8 per cell]
Hg1 0.150 0.579 0.776 [8 per cell]
Te1 0.249 0.075 0.468 [8 per cell]
O1 0.112 0.243 0.222 [8 per cell]

Entry from the Open Quantum Materials Database: Cu4Ag after structural relaxation (GGA-PBE).

Output
* energy of formation from the pure elements: 0.055 eV per atom
* crystal system: monoclinic

Lattice parameters (Å, degrees): 11.059 2.684 8.904 90.00 99.38 90.00
Space group C2/m (No. 12)
Inequivalent atoms, fractional coordinates:
Cu1 0.046 0.000 0.140 [4 per cell]
Cu2 0.064 0.500 0.681 [4 per cell]
Cu3 0.152 0.500 0.956 [4 per cell]
Cu4 0.243 0.500 0.235 [4 per cell]
Ag1 0.136 0.000 0.449 [4 per cell]

Entry from the Open Quantum Materials Database: LuMgReMo after structural relaxation (GGA-PBE).

Output
* crystal system: cubic

Lattice parameters (Å, degrees): 6.620 6.620 6.620 90.00 90.00 90.00
Space group F-43m (No. 216)
Inequivalent atoms, fractional coordinates:
Lu1 0.000 0.000 0.000 [4 per cell]
Mg1 0.000 0.000 0.500 [4 per cell]
Re1 0.250 0.250 0.750 [4 per cell]
Mo1 0.250 0.250 0.250 [4 per cell]

Q: Which energy above the lowest structure with this stoichiometry values were calculated for the entries above? A: 27.6 1.1 46.2, in kJ per mole of atoms.
Q: Which ρ values were calculated for the entries above? A: 7.58 9.22 11.02, in g/cm³.